1.
VASP calculation (PBE-GGA) on a geometry-optimized NiSnRu3 structure.

a b c (Å): 4.820 4.820 4.820
angles (deg): 90.00 90.00 90.00
Site moments in Bohr magnetons follow the coordinates.
Positions (direct):
Ru 0.000 0.500 0.000  1.55
Ru 0.000 0.000 0.500  1.82
Ru 0.500 0.000 0.000  1.28
Sn 0.000 0.000 0.000  -0.07
Ni 0.500 0.500 0.500  1.15

Results
As for the relative energy among the computed polymorphs: 985 meV/atom. As for the formation energy: 2135 meV/atom. Its space group is Pm-3m, No. 221.

***

2.
VASP calculation (PBE-GGA) on a geometry-optimized SmDySc2S4 structure.

a b c (Å): 3.788 6.688 6.616
angles (deg): 70.98 90.00 90.00
Positions (direct):
Sm 0.500 0.500 0.000
Dy 0.000 0.500 0.500
Sc 0.000 0.000 0.000
Sc 0.500 0.000 0.500
S 0.000 0.773 0.738
S 0.000 0.227 0.262
S 0.500 0.769 0.248
S 0.500 0.231 0.752

Results
The final energy is -6.734 eV per atom. Its space group is P2/m, No. 10.

***

Computed theoretical density, in the same sequence as the records: 7129, 5564 kg/m3.